# TaOs2BrCl

A relaxed structure of TaOs2BrCl (PBE, Alexandria via LeMat-Bulk).

The structure in POSCAR format:
```
TaOs2BrCl
1.0
-2.123 -3.074 3.259
4.590 -1.031 2.019
-0.556 3.759 3.184
Cl Os Br Ta
1 2 1 1
direct
0.500 0.500 0.500
0.000 0.000 0.500
0.500 0.000 0.000
0.000 0.500 0.000
0.000 0.000 0.000
```

Formation energy (no corrections), meV per atom: 1703
Space-group type: P4/mmm (123)
Fermi-level density of states, states/eV per atom: 0.6083

***

# Tl2OsBr2Cl4

A relaxed structure of Tl2OsBr2Cl4 (PBE, Alexandria via LeMat-Bulk).

The structure in POSCAR format:
```
Tl2OsBr2Cl4
1.0
7.037 1.070 0.728
2.547 6.756 0.300
2.547 2.759 6.174
Tl Os Br Cl
2 1 2 4
direct
0.274 0.748 0.748
0.726 0.252 0.252
0.500 0.000 0.000
0.222 0.239 0.239
0.778 0.761 0.761
0.289 0.748 0.214
0.711 0.786 0.252
0.711 0.252 0.786
0.289 0.214 0.748
```

Formation energy (no corrections), meV per atom: -645
Space-group type: C2/m (12)
Fermi-level density of states, states/eV per atom: 0.5781

***

# Tl2OsBr4Cl2

A relaxed structure of Tl2OsBr4Cl2 (PBE, Alexandria via LeMat-Bulk).

The structure in POSCAR format:
```
Tl2OsBr4Cl2
1.0
7.437 1.138 0.774
2.776 6.635 0.023
2.776 2.457 6.163
Tl Os Br Cl
2 1 4 2
direct
0.236 0.749 0.749
0.764 0.251 0.251
0.500 0.000 0.000
0.294 0.735 0.211
0.706 0.789 0.265
0.706 0.265 0.789
0.294 0.211 0.735
0.220 0.235 0.235
0.780 0.765 0.765
```

Formation energy (no corrections), meV per atom: -560
Space-group type: C2/m (12)
Fermi-level density of states, states/eV per atom: 0.5550

***

# ZrOsBr2Cl

A relaxed structure of ZrOsBr2Cl (PBE, Alexandria via LeMat-Bulk).

The structure in POSCAR format:
```
ZrOsBr2Cl
1.0
-1.076 3.199 4.010
-2.842 -3.833 2.294
4.289 -1.687 2.496
Os Br Zr Cl
1 2 1 1
direct
0.000 0.500 0.000
0.000 0.000 0.500
0.500 0.000 0.000
0.000 0.000 0.000
0.500 0.500 0.500
```

Formation energy (no corrections), meV per atom: 377
Space-group type: P4/mmm (123)
Fermi-level density of states, states/eV per atom: 0.0749

***

# PBr3Cl

A relaxed structure of PBr3Cl (PBE, Alexandria via LeMat-Bulk).

The structure in POSCAR format:
```
PBr3Cl
1.0
5.342 0.000 0.000
0.000 5.342 0.000
0.000 0.000 5.342
P Br Cl
1 3 1
direct
0.500 0.500 0.500
0.000 0.500 0.000
0.000 0.000 0.500
0.500 0.000 0.000
0.000 0.000 0.000
```

Formation energy (no corrections), meV per atom: 959
Space-group type: Pm-3m (221)
Fermi-level density of states, states/eV per atom: 1.4675

***

# PBrCl2

A relaxed structure of PBrCl2 (PBE, Alexandria via LeMat-Bulk).

The structure in POSCAR format:
```
PBrCl2
1.0
5.129 -0.005 0.000
1.195 4.988 0.000
-3.162 -2.492 3.179
Br Cl P
1 2 1
direct
0.750 0.250 0.500
0.000 0.000 0.000
0.500 0.500 0.000
0.250 0.750 0.500
```

Formation energy (no corrections), meV per atom: 760
Space-group type: I4/mmm (139)
Fermi-level density of states, states/eV per atom: 0.5209

***

| no. | theoretical density (kg/m3) |
| --- | --- |
| 1 | 8932 |
| 2 | 5659 |
| 3 | 5969 |
| 4 | 5443 |
| 5 | 3334 |
| 6 | 3711 |